# PBE+U CaPmMnO4, relaxed
data_CaPmMnO4
_chemical_formula_sum 'Ca4 Pm4 Mn4 O16'
_symmetry_space_group_name_H-M 'I m m a'
_symmetry_Int_Tables_number 74
_symmetry_space_group_name_Hall '-I 2b 2'
_cell_length_a 7.145
_cell_length_b 7.150
_cell_length_c 8.215
_cell_angle_alpha 90.00
_cell_angle_beta 90.00
_cell_angle_gamma 90.00
loop_
_atom_site_label
_atom_site_fract_x
_atom_site_fract_y
_atom_site_fract_z
Ca1 0.000 0.250 0.074
Pm1 0.000 0.000 0.500
Mn1 0.250 0.250 0.750
O1 0.000 0.049 0.783
O2 0.208 0.250 0.520
# - Total energy: -7.39 eV/atom